CuB3P | SCAN | PBEsol geometry

Unit cell a=3.8194 b=3.8194 c=3.8194 alpha=90.00 beta=90.00 gamma=90.00
With the nearest neighbours (Å) after each atom.
Element x y z (fractional)
Cu 0.5000 0.5000 0.5000  12 B 2.70
P 0.0000 0.0000 0.0000  6 B 1.91
B 0.5000 0.0000 0.0000  2 P 1.91
B 0.0000 0.0000 0.5000  2 P 1.91
B 0.0000 0.5000 0.0000  2 P 1.91

ΔE_f = 7.91 eV per formula unit

AgRhC2 | SCAN | PBEsol geometry

Unit cell a=3.8854 b=3.8854 c=3.8854 alpha=60.00 beta=60.00 gamma=60.00
With the nearest neighbours (Å) after each atom.
Element x y z (fractional)
C 0.7500 0.7500 0.7500  4 Rh 2.38, 4 Ag 2.38
Ag 0.5000 0.5000 0.5000  8 C 2.38
Rh 0.0000 0.0000 0.0000  8 C 2.38
C 0.2500 0.2500 0.2500  4 Ag 2.38, 4 Rh 2.38

ΔE_f = 8.24 eV per formula unit
excess energy over the best structure of this formula in the dataset = 809 meV per atom

| no. | total moment (μB per formula unit) |
| --- | --- |
| 1 | 0.00 |
| 2 | 0.00 |